Computed, not measured: a geometry-optimized NaIn4Sn2 structure at the PBE level of DFT.

Lattice parameters (Å, degrees): 4.755 5.443 8.702 108.23 90.00 90.00
Fractional positions:
In 0.000 0.300 0.600
In 0.000 0.700 0.400
In 0.500 0.175 0.351
In 0.500 0.825 0.649
Na 0.000 0.000 0.000
Sn 0.500 0.588 0.177
Sn 0.500 0.412 0.823

**Space group**: No. 65
**Formation energy from the elements**: -0.004 eV/atom
**Size of the total moment**: 0.00 μB per formula unit
**Uncorrected energy**: -2.901 eV/atom

---

Computed, not measured: a geometry-optimized Na3In2Sn4 structure at the PBE level of DFT.

Lattice parameters (Å, degrees): 6.580 9.213 9.213 59.82 89.99 89.99
Fractional positions:
Sn 0.001 0.167 0.500
Sn 0.000 0.167 0.834
Sn 0.000 0.833 0.166
Sn 0.501 0.500 0.167
Sn 0.499 0.500 0.833
Sn 0.500 0.166 0.833
Sn 0.999 0.833 0.500
Sn 0.500 0.834 0.167
Na 0.750 0.165 0.166
Na 0.750 0.834 0.835
Na 0.250 0.835 0.834
Na 0.250 0.166 0.165
Na 0.250 0.500 0.500
Na 0.750 0.500 0.500
In 0.001 0.500 0.165
In 0.501 0.165 0.500
In 0.999 0.500 0.835
In 0.499 0.835 0.500

**Space group**: No. 15
**Formation energy from the elements**: -0.140 eV/atom
**Size of the total moment**: 0.00 μB per formula unit
**Uncorrected energy**: -2.967 eV/atom

---

Computed, not measured: a geometry-optimized NaInSn4 structure at the PBE level of DFT.

Lattice parameters (Å, degrees): 6.038 6.038 6.038 104.23 104.23 120.55
Fractional positions:
In 0.000 0.000 0.000
Sn 0.397 0.897 0.794
Sn 0.897 0.103 0.500
Sn 0.603 0.397 0.500
Sn 0.103 0.603 0.206
Na 0.500 0.500 0.000

**Space group**: No. 97
**Formation energy from the elements**: 0.078 eV/atom
**Size of the total moment**: 0.00 μB per formula unit
**Uncorrected energy**: -3.267 eV/atom

---

Computed, not measured: a geometry-optimized Na2In2Sn3 structure at the PBE level of DFT.

Lattice parameters (Å, degrees): 6.662 5.811 9.726 106.88 142.96 63.72
Fractional positions:
In 0.606 0.723 0.546
In 0.394 0.277 0.454
Na 0.627 0.153 0.939
Na 0.373 0.847 0.061
Sn 0.159 0.736 0.613
Sn 0.000 0.500 0.000
Sn 0.841 0.264 0.387

**Space group**: No. 2
**Formation energy from the elements**: -0.067 eV/atom
**Size of the total moment**: 0.00 μB per formula unit
**Uncorrected energy**: -2.942 eV/atom

---

Computed, not measured: a geometry-optimized Na5InSn structure at the PBE level of DFT.

Lattice parameters (Å, degrees): 6.101 8.266 7.943 121.35 112.58 90.00
Fractional positions:
Na 0.402 0.179 0.000
Na 0.802 0.749 0.497
Na 0.105 0.500 0.000
Na 0.402 0.821 0.000
Na 0.305 0.251 0.503
In 0.889 0.000 0.000
Sn 0.625 0.500 0.000

**Space group**: No. 44
**Formation energy from the elements**: 0.165 eV/atom
**Size of the total moment**: 0.00 μB per formula unit
**Uncorrected energy**: -1.741 eV/atom

---

Computed, not measured: a geometry-optimized Na3InSn4 structure at the PBE level of DFT.

Lattice parameters (Å, degrees): 3.194 6.425 11.158 106.73 98.23 90.00
Fractional positions:
In 0.500 0.000 0.000
Sn 0.376 0.618 0.752
Sn 0.624 0.866 0.248
Sn 0.376 0.134 0.752
Sn 0.624 0.382 0.248
Na 0.000 0.500 0.000
Na 0.762 0.762 0.524
Na 0.238 0.238 0.476

**Space group**: No. 71
**Formation energy from the elements**: -0.113 eV/atom
**Size of the total moment**: 0.00 μB per formula unit
**Uncorrected energy**: -2.951 eV/atom

---

Computed, not measured: a geometry-optimized NaIn10Sn2 structure at the PBE level of DFT.

Lattice parameters (Å, degrees): 6.337 8.372 8.306 81.70 67.58 67.76
Fractional positions:
In 0.500 0.791 0.209
In 0.500 0.000 0.500
In 0.355 0.644 0.646
In 0.645 0.356 0.354
In 0.500 0.209 0.791
In 0.000 0.000 0.500
In 0.001 0.644 0.354
In 0.291 0.209 0.209
In 0.709 0.791 0.791
In 0.999 0.356 0.646
Sn 0.500 0.500 0.000
Sn 0.000 0.500 0.000
Na 0.000 0.000 0.000

**Space group**: No. 69
**Formation energy from the elements**: 0.031 eV/atom
**Size of the total moment**: 0.00 μB per formula unit
**Uncorrected energy**: -2.792 eV/atom

---

Computed, not measured: a geometry-optimized NaIn5Sn2 structure at the PBE level of DFT.

Lattice parameters (Å, degrees): 6.696 6.696 6.696 119.16 119.16 91.46
Fractional positions:
In 0.278 0.277 0.000
In 0.778 0.778 0.500
In 0.278 0.778 0.000
In 0.278 0.278 0.500
In 0.778 0.278 0.000
Sn 0.278 0.778 0.500
Sn 0.778 0.278 0.500
Na 0.778 0.778 0.000

**Space group**: No. 107
**Formation energy from the elements**: -0.037 eV/atom
**Size of the total moment**: 0.00 μB per formula unit
**Uncorrected energy**: -2.914 eV/atom

---

Computed, not measured: a geometry-optimized NaIn2Sn structure at the PBE level of DFT.

Lattice parameters (Å, degrees): 4.466 4.466 7.818 73.40 73.40 60.00
Fractional positions:
In 0.240 0.240 0.281
In 0.094 0.094 0.718
Sn 0.499 0.499 0.502
Na 0.667 0.667 0.998

**Space group**: No. 160
**Formation energy from the elements**: -0.003 eV/atom
**Size of the total moment**: 0.00 μB per formula unit
**Uncorrected energy**: -2.702 eV/atom

---

Computed, not measured: a geometry-optimized Na5In2Sn structure at the PBE level of DFT.

Lattice parameters (Å, degrees): 5.036 6.338 16.440 90.00 90.00 113.41
Fractional positions:
Na 0.502 0.005 0.250
Na 0.055 0.110 0.400
Na 0.945 0.890 0.900
Na 0.353 0.707 0.041
Na 0.945 0.890 0.600
Na 0.055 0.110 0.100
Na 0.647 0.293 0.959
Na 0.498 0.995 0.750
Na 0.353 0.707 0.459
Na 0.647 0.293 0.541
Sn 0.220 0.441 0.250
Sn 0.780 0.559 0.750
In 0.228 0.456 0.854
In 0.772 0.544 0.354
In 0.228 0.456 0.646
In 0.772 0.544 0.146

**Space group**: No. 63
**Formation energy from the elements**: -0.082 eV/atom
**Size of the total moment**: 0.00 μB per formula unit
**Uncorrected energy**: -2.092 eV/atom

---

Computed, not measured: a geometry-optimized NaIn2Sn2 structure at the PBE level of DFT.

Lattice parameters (Å, degrees): 8.453 8.453 3.992 90.00 90.00 90.00
Fractional positions:
Sn 0.637 0.137 0.000
Sn 0.363 0.863 0.000
Sn 0.863 0.637 0.000
Sn 0.137 0.363 0.000
In 0.659 0.841 0.500
In 0.841 0.341 0.500
In 0.341 0.159 0.500
In 0.159 0.659 0.500
Na 0.500 0.500 0.000
Na 0.000 0.000 0.000

**Space group**: No. 127
**Formation energy from the elements**: -0.024 eV/atom
**Size of the total moment**: 0.00 μB per formula unit
**Uncorrected energy**: -2.984 eV/atom

---

Computed, not measured: a geometry-optimized Na6In2Sn structure at the PBE level of DFT.

Lattice parameters (Å, degrees): 3.223 9.412 9.412 60.03 89.99 89.99
Fractional positions:
Na 0.500 0.670 0.330
Na 0.500 0.330 0.670
Na 0.498 0.000 0.670
Na 0.502 0.330 0.000
Na 0.502 0.000 0.330
Na 0.498 0.670 0.000
In 0.000 0.333 0.333
In 0.000 0.667 0.667
Sn 0.000 0.000 0.000

**Space group**: No. 12
**Formation energy from the elements**: -0.106 eV/atom
**Size of the total moment**: 0.00 μB per formula unit
**Uncorrected energy**: -2.039 eV/atom

---

Computed, not measured: a geometry-optimized Na8In6Sn structure at the PBE level of DFT.

Lattice parameters (Å, degrees): 9.043 9.043 8.447 57.64 57.64 60.00
Fractional positions:
Na 0.333 0.333 0.001
Na 0.880 0.548 0.362
Na 0.548 0.210 0.362
Na 0.210 0.880 0.362
Na 0.667 0.667 0.999
Na 0.790 0.120 0.638
Na 0.120 0.452 0.638
Na 0.452 0.790 0.638
In 0.721 0.368 0.866
In 0.045 0.721 0.866
In 0.632 0.955 0.134
In 0.368 0.045 0.866
In 0.279 0.632 0.134
In 0.955 0.279 0.134
Sn 0.000 0.000 0.000

**Space group**: No. 148
**Formation energy from the elements**: -0.060 eV/atom
**Size of the total moment**: 0.00 μB per formula unit
**Uncorrected energy**: -2.126 eV/atom

---

Computed, not measured: a geometry-optimized Na3InSn structure at the PBE level of DFT.

Lattice parameters (Å, degrees): 5.859 5.859 5.859 90.00 90.00 90.00
Fractional positions:
Sn 0.000 0.000 0.000
Na 0.000 0.000 0.500
Na 0.000 0.500 0.000
Na 0.500 0.000 0.000
In 0.500 0.500 0.500

**Space group**: No. 221
**Formation energy from the elements**: 0.192 eV/atom
**Size of the total moment**: 0.00 μB per formula unit
**Uncorrected energy**: -1.947 eV/atom

---

Computed, not measured: a geometry-optimized Na5In12Sn2 structure at the PBE level of DFT.

Lattice parameters (Å, degrees): 4.973 7.520 14.724 104.79 90.00 90.00
Fractional positions:
In 0.000 0.999 0.602
In 0.000 0.603 0.602
In 0.000 0.397 0.398
In 0.500 0.928 0.272
In 0.500 0.344 0.272
In 0.000 0.914 0.827
In 0.500 0.447 0.893
In 0.000 0.001 0.398
In 0.500 0.072 0.728
In 0.500 0.656 0.728
In 0.000 0.086 0.173
In 0.500 0.553 0.107
Na 0.000 0.619 0.239
Na 0.000 0.381 0.761
Na 0.500 0.266 0.533
Na 0.500 0.734 0.467
Na 0.500 0.000 0.000
Sn 0.000 0.292 0.000
Sn 0.000 0.708 0.000

**Space group**: No. 65
**Formation energy from the elements**: -0.056 eV/atom
**Size of the total moment**: 0.00 μB per formula unit
**Uncorrected energy**: -2.554 eV/atom

---

Computed, not measured: a geometry-optimized NaIn2Sn2 structure at the PBE level of DFT.

Lattice parameters (Å, degrees): 8.475 8.475 3.936 90.00 90.00 90.00
Fractional positions:
In 0.637 0.137 0.000
In 0.137 0.363 0.000
In 0.863 0.637 0.000
In 0.363 0.863 0.000
Na 0.500 0.500 0.000
Na 0.000 0.000 0.000
Sn 0.841 0.341 0.500
Sn 0.159 0.659 0.500
Sn 0.341 0.159 0.500
Sn 0.659 0.841 0.500

**Space group**: No. 127
**Formation energy from the elements**: -0.019 eV/atom
**Size of the total moment**: 0.00 μB per formula unit
**Uncorrected energy**: -2.980 eV/atom

---

Computed, not measured: a geometry-optimized NaIn2Sn structure at the PBE level of DFT.

Lattice parameters (Å, degrees): 4.791 4.673 4.673 90.00 90.00 90.00
Fractional positions:
Na 0.500 0.500 0.500
In 0.000 0.500 0.000
In 0.000 0.000 0.500
Sn 0.500 0.000 0.000

**Space group**: No. 123
**Formation energy from the elements**: -0.087 eV/atom
**Size of the total moment**: 0.00 μB per formula unit
**Uncorrected energy**: -2.787 eV/atom

---

Computed, not measured: a geometry-optimized Na2In9Sn structure at the PBE level of DFT.

Lattice parameters (Å, degrees): 4.793 4.793 13.952 90.00 90.00 90.00
Fractional positions:
In 0.500 0.000 0.500
In 0.500 0.000 0.170
In 0.500 0.000 0.830
In 0.000 0.500 0.170
In 0.000 0.500 0.500
In 0.500 0.500 0.000
In 0.500 0.500 0.339
In 0.500 0.500 0.661
In 0.000 0.500 0.830
Sn 0.000 0.000 0.000
Na 0.000 0.000 0.336
Na 0.000 0.000 0.664

**Space group**: No. 123
**Formation energy from the elements**: -0.042 eV/atom
**Size of the total moment**: 0.00 μB per formula unit
**Uncorrected energy**: -2.649 eV/atom

---

Computed, not measured: a geometry-optimized NaIn5Sn4 structure at the PBE level of DFT.

Lattice parameters (Å, degrees): 4.049 4.049 16.711 90.00 90.00 90.00
Fractional positions:
Sn 0.000 0.000 0.197
Sn 0.000 0.000 0.396
Sn 0.000 0.000 0.604
Sn 0.000 0.000 0.803
In 0.500 0.500 0.500
In 0.500 0.500 0.300
In 0.500 0.500 0.891
In 0.500 0.500 0.109
In 0.500 0.500 0.700
Na 0.000 0.000 0.000

**Space group**: No. 123
**Formation energy from the elements**: -0.007 eV/atom
**Size of the total moment**: 0.00 μB per formula unit
**Uncorrected energy**: -3.109 eV/atom

---

Computed, not measured: a geometry-optimized Na2InSn3 structure at the PBE level of DFT.

Lattice parameters (Å, degrees): 6.234 6.234 10.685 115.09 115.09 63.03
Fractional positions:
Sn 0.166 0.166 0.332
Sn 0.331 0.331 0.165
Sn 0.166 0.166 0.835
Sn 0.669 0.669 0.835
Sn 0.834 0.834 0.668
Sn 0.834 0.834 0.165
Na 0.250 0.750 0.500
Na 0.249 0.751 0.000
Na 0.750 0.250 0.500
Na 0.751 0.249 0.000
In 0.333 0.333 0.667
In 0.667 0.667 0.333

**Space group**: No. 69
**Formation energy from the elements**: -0.154 eV/atom
**Size of the total moment**: 0.00 μB per formula unit
**Uncorrected energy**: -3.051 eV/atom